A relaxed Al4InAgS8 crystal. Source: Alexandria, functional PBE.

Its density is 3.52 g/cm3. The value obtained for the volume is 19.77 Å³/atom. For the energy, the calculation gives -0.171 hartree per atom.

```
Al4InAgS8
1.0
7.3698 0.0112 0.0079
3.7818 6.3255 0.0079
3.7818 2.1489 5.9493
S Al In Ag
8 4 1 1
direct
0.2507 0.7706 0.2507
0.2507 0.2507 0.7706
0.7706 0.2507 0.2507
0.7489 0.2193 0.7489
0.2429 0.2429 0.2429
0.7622 0.7622 0.7622
0.7489 0.7489 0.2193
0.2193 0.7489 0.7489
0.9921 0.9921 0.5215
0.3758 0.3758 0.3758
0.5215 0.9921 0.9921
0.9921 0.5215 0.9921
0.9948 0.9948 0.9948
0.6295 0.6295 0.6295
```